# 1
{"formula": "Mn2NiHOs", "functional": "PBE", "state": "relaxed", "lattice_angstrom": [[-1.972, 2.646, 1.677], [-3.119, -1.845, -0.756], [0.289, -1.778, 3.145]], "species": ["Ni", "Mn", "Mn", "Os", "H"], "fractional_positions": [[0.000, 0.000, 0.500], [0.000, 0.500, 0.000], [0.500, 0.000, 0.000], [0.500, 0.500, 0.500], [0.000, 0.000, 0.000]], "e_above_lowest_polymorph_mev_per_atom": 0.0, "dft_energy_ev_per_cell": -38.33, "magnetic_moment_mub_per_cell": 2.8, "dos_ef_per_ev_atom": 1.1525, "rho_g_cm3": 12.03}

# 2
{"formula": "MnNi2HOs", "functional": "PBE", "state": "relaxed", "lattice_angstrom": [[-1.309, 2.653, 2.058], [-1.028, -2.420, 2.465], [3.401, 0.328, 1.740]], "species": ["Ni", "Ni", "Mn", "Os", "H"], "fractional_positions": [[0.000, 0.500, 0.000], [0.500, 0.000, 0.000], [0.000, 0.000, 0.500], [0.500, 0.500, 0.500], [0.000, 0.000, 0.000]], "e_above_lowest_polymorph_mev_per_atom": 29.4, "dft_energy_ev_per_cell": -34.69, "magnetic_moment_mub_per_cell": 2.1, "dos_ef_per_ev_atom": 1.1736, "rho_g_cm3": 12.12}

# 3
{"formula": "MnNi2HOs", "functional": "PBE", "state": "relaxed", "lattice_angstrom": [[-1.381, -0.279, 3.387], [2.967, -1.882, 1.055], [1.720, 3.256, 0.970]], "species": ["Ni", "Ni", "Mn", "Os", "H"], "fractional_positions": [[0.000, 0.500, 0.000], [0.500, 0.000, 0.000], [0.500, 0.500, 0.500], [0.000, 0.000, 0.500], [0.000, 0.000, 0.000]], "e_above_lowest_polymorph_mev_per_atom": 0.0, "dft_energy_ev_per_cell": -34.83, "magnetic_moment_mub_per_cell": 2.6, "dos_ef_per_ev_atom": 0.9903, "rho_g_cm3": 11.78}

# 4
{"formula": "Mn2NiHOs", "functional": "PBE", "state": "relaxed", "lattice_angstrom": [[-1.324, 0.282, 3.380], [-2.967, -1.854, -1.008], [1.677, -3.186, 0.922]], "species": ["Ni", "Mn", "Mn", "Os", "H"], "fractional_positions": [[0.500, 0.500, 0.500], [0.000, 0.500, 0.000], [0.500, 0.000, 0.000], [0.000, 0.000, 0.500], [0.000, 0.000, 0.000]], "e_above_lowest_polymorph_mev_per_atom": 75.7, "dft_energy_ev_per_cell": -37.95, "magnetic_moment_mub_per_cell": 0.0, "dos_ef_per_ev_atom": 0.8929, "rho_g_cm3": 12.13}

# 5
{"formula": "PaMnNi2H8", "functional": "PBE", "state": "relaxed", "lattice_angstrom": [[4.505, 0.000, 0.000], [-2.253, 3.902, 0.000], [0.000, 0.000, 6.365]], "species": ["Pa", "Mn", "Ni", "Ni", "H", "H", "H", "H", "H", "H", "H", "H"], "fractional_positions": [[0.000, 0.000, 0.500], [0.000, 0.000, 0.000], [0.667, 0.333, 0.281], [0.333, 0.667, 0.719], [0.855, 0.145, 0.194], [0.855, 0.711, 0.194], [0.289, 0.145, 0.194], [0.711, 0.855, 0.806], [0.333, 0.667, 0.475], [0.667, 0.333, 0.525], [0.145, 0.855, 0.806], [0.145, 0.289, 0.806]], "dft_energy_ev_per_cell": -57.30, "magnetic_moment_mub_per_cell": 2.1, "dos_ef_per_ev_atom": 0.1867, "rho_g_cm3": 6.11}

# 6
{"formula": "MnNiH3Pd", "functional": "PBE", "state": "relaxed", "lattice_angstrom": [[2.798, 0.000, 0.000], [0.000, 5.450, 1.231], [0.000, -0.199, 6.321]], "species": ["Mn", "Mn", "Ni", "Ni", "H", "H", "H", "H", "H", "H", "Pd", "Pd"], "fractional_positions": [[0.250, 0.101, 0.150], [0.750, 0.899, 0.850], [0.250, 0.184, 0.545], [0.750, 0.816, 0.455], [0.750, 0.874, 0.162], [0.250, 0.126, 0.838], [0.250, 0.870, 0.591], [0.750, 0.130, 0.409], [0.750, 0.355, 0.114], [0.250, 0.645, 0.886], [0.250, 0.571, 0.196], [0.750, 0.429, 0.804]], "dft_energy_ev_per_cell": -59.85, "magnetic_moment_mub_per_cell": 7.1, "dos_ef_per_ev_atom": 0.4196, "rho_g_cm3": 7.63}

# 7
{"formula": "MnNiHPd2", "functional": "PBE", "state": "relaxed", "lattice_angstrom": [[-0.733, -1.978, -3.377], [-1.112, -3.189, 2.109], [-3.489, 1.238, 0.032]], "species": ["Ni", "Mn", "Pd", "Pd", "H"], "fractional_positions": [[0.000, 0.000, 0.500], [0.500, 0.500, 0.500], [0.000, 0.500, 0.000], [0.500, 0.000, 0.000], [0.000, 0.000, 0.000]], "e_above_lowest_polymorph_mev_per_atom": 0.0, "dft_energy_ev_per_cell": -29.45, "magnetic_moment_mub_per_cell": 4.6, "dos_ef_per_ev_atom": 0.6353, "rho_g_cm3": 9.26}

# 8
{"formula": "Mn2NiHPd", "functional": "PBE", "state": "relaxed", "lattice_angstrom": [[-3.222, 1.311, 1.048], [-1.265, -0.407, -3.381], [-1.146, -3.495, 0.849]], "species": ["Ni", "Mn", "Mn", "Pd", "H"], "fractional_positions": [[0.000, 0.000, 0.500], [0.000, 0.500, 0.000], [0.500, 0.000, 0.000], [0.500, 0.500, 0.500], [0.000, 0.000, 0.000]], "e_above_lowest_polymorph_mev_per_atom": 169.9, "dft_energy_ev_per_cell": -31.77, "magnetic_moment_mub_per_cell": 0.0, "dos_ef_per_ev_atom": 1.8642, "rho_g_cm3": 9.20}

# 9
{"formula": "MnNiHPd2", "functional": "PBE", "state": "relaxed", "lattice_angstrom": [[-2.313, -1.820, -2.535], [-0.518, -2.888, 2.546], [-3.100, 1.868, 1.488]], "species": ["Ni", "Mn", "Pd", "Pd", "H"], "fractional_positions": [[0.500, 0.500, 0.500], [0.000, 0.000, 0.500], [0.000, 0.500, 0.000], [0.500, 0.000, 0.000], [0.000, 0.000, 0.000]], "e_above_lowest_polymorph_mev_per_atom": 68.7, "dft_energy_ev_per_cell": -29.11, "magnetic_moment_mub_per_cell": 5.0, "dos_ef_per_ev_atom": 0.6889, "rho_g_cm3": 9.21}

# 10
{"formula": "MnNi2HPd", "functional": "PBE", "state": "relaxed", "lattice_angstrom": [[3.695, 0.000, 0.000], [0.000, 3.695, 0.000], [0.000, 0.000, 3.870]], "species": ["Ni", "Ni", "Mn", "Pd", "H"], "fractional_positions": [[0.000, 0.500, 0.000], [0.500, 0.000, 0.000], [0.000, 0.000, 0.500], [0.500, 0.500, 0.500], [0.000, 0.000, 0.000]], "e_above_lowest_polymorph_mev_per_atom": 0.0, "dft_energy_ev_per_cell": -29.79, "magnetic_moment_mub_per_cell": 4.8, "dos_ef_per_ev_atom": 0.7444, "rho_g_cm3": 8.79}

# 11
{"formula": "MnNi2HPd", "functional": "PBE", "state": "relaxed", "lattice_angstrom": [[-0.515, 2.527, 2.700], [1.787, -2.216, 2.416], [3.333, 1.673, -0.931]], "species": ["Ni", "Ni", "Mn", "Pd", "H"], "fractional_positions": [[0.000, 0.500, 0.000], [0.500, 0.000, 0.000], [0.500, 0.500, 0.500], [0.000, 0.000, 0.500], [0.000, 0.000, 0.000]], "e_above_lowest_polymorph_mev_per_atom": 4.9, "dft_energy_ev_per_cell": -29.77, "magnetic_moment_mub_per_cell": 4.8, "dos_ef_per_ev_atom": 0.7722, "rho_g_cm3": 8.67}

# 12
{"formula": "Mn2NiHPd", "functional": "PBE", "state": "relaxed", "lattice_angstrom": [[3.943, 0.000, 0.000], [0.000, 3.943, 0.000], [0.000, 0.000, 3.712]], "species": ["Ni", "Mn", "Mn", "Pd", "H"], "fractional_positions": [[0.500, 0.500, 0.500], [0.000, 0.500, 0.000], [0.500, 0.000, 0.000], [0.000, 0.000, 0.500], [0.000, 0.000, 0.000]], "e_above_lowest_polymorph_mev_per_atom": 0.0, "dft_energy_ev_per_cell": -32.62, "magnetic_moment_mub_per_cell": 8.3, "dos_ef_per_ev_atom": 0.4958, "rho_g_cm3": 7.94}